## Sm8ThN6 (PBE-GGA)

Data for a relaxed structure of Sm8ThN6. Values from VASP.

Values from the calculation:
**Raw formation energy**: -1.19 eV/atom
**Uncorrected energy**: -7.53 eV per atom
**Density**: 8.16 g/cm3
**Space group**: R-3, No. 148
**Calculated volume**: 309 Å³ per cell
**Fermi-level density of states**: 0.796 states/eV per atom
**Total magnetization**: 0.46 μB per formula unit

The structure in Quantum ESPRESSO input format:
```
&SYSTEM
  ibrav = 0, nat = 15, ntyp = 3
/
ATOMIC_SPECIES
Sm 150.36 Sm.upf
Th 232.04 Th.upf
N 14.01 N.upf
CELL_PARAMETERS angstrom
3.131 1.808 9.108
-3.131 1.808 9.108
0.000 -3.615 9.108
ATOMIC_POSITIONS crystal
Sm 0.059 0.734 0.397
Sm 0.167 0.167 0.167
Sm 0.266 0.603 0.941
Sm 0.397 0.059 0.734
Sm 0.603 0.941 0.266
Sm 0.734 0.397 0.059
Sm 0.833 0.833 0.833
Sm 0.941 0.266 0.603
Th 0.500 0.500 0.500
N 0.116 0.444 0.772
N 0.228 0.884 0.556
N 0.444 0.772 0.116
N 0.556 0.228 0.884
N 0.772 0.116 0.444
N 0.884 0.556 0.228
```